Here is crystalline Na3Zn4F12 at its relaxed geometry from Alexandria. Energies are from PBE.

## Properties
formation energy from raw total energies	-2.36	eV per atom

Lattice parameters (Å, degrees): 6.833 6.833 6.833 109.47 109.47 109.47
Sites, in units of the cell vectors:
Na 0.000 0.500 0.500
Na 0.500 0.000 0.500
Na 0.500 0.500 0.000
Zn 0.000 0.000 0.500
Zn 0.000 0.500 0.000
Zn 0.500 0.000 0.000
Zn 0.500 0.500 0.500
F 0.084 0.787 0.297
F 0.213 0.297 0.510
F 0.213 0.703 0.916
F 0.297 0.084 0.787
F 0.297 0.510 0.213
F 0.490 0.787 0.703
F 0.510 0.213 0.297
F 0.703 0.490 0.787
F 0.703 0.916 0.213
F 0.787 0.297 0.084
F 0.787 0.703 0.490
F 0.916 0.213 0.703